The following is a DFT calculation (GGA-PBE) of a geometry-optimized RbV2CoP structure.

Values from the calculation:
- Space group: P4/mmm (123)
- Formation enthalpy at 0 K: 1361 meV/atom
- Calculated volume: 22.9 A^3/atom

a = 4.4366 Å, b = 5.8054 Å, c = 4.4366 Å
α = 90.00°, β = 90.00°, γ = 90.00°
Last column: nearest neighbours and their distance in Å.
Sites, in units of the cell vectors:
Co 0.5000 0.5000 0.5000  4 Rb 3.14
Rb 0.0000 0.5000 0.0000  2 P 2.90, 4 Co 3.14
V 0.0000 0.0000 0.5000  2 P 2.22
P 0.0000 0.0000 0.0000  4 V 2.22
V 0.5000 0.0000 0.0000  2 P 2.22

***

The following is a DFT calculation (GGA-PBE) of a geometry-optimized DyYTiIn structure.

Values from the calculation:
- Space group: F-43m (216)
- Formation enthalpy at 0 K: -105 meV/atom
- Calculated volume: 25.7 A^3/atom

a = 5.2602 Å, b = 5.2602 Å, c = 5.2602 Å
α = 60.00°, β = 60.00°, γ = 60.00°
Last column: nearest neighbours and their distance in Å.
Sites, in units of the cell vectors:
In 0.7500 0.7500 0.7500  4 Dy 3.22, 4 Y 3.22
Y 0.5000 0.5000 0.5000  4 In 3.22, 4 Ti 3.22
Dy 0.0000 0.0000 0.0000  4 In 3.22, 4 Ti 3.22
Ti 0.2500 0.2500 0.2500  4 Dy 3.22, 4 Y 3.22

***

The following is a DFT calculation (GGA-PBE) of a geometry-optimized Zn2FeSe structure.

Values from the calculation:
- Space group: I-4m2 (119)
- Calculated volume: 15.5 A^3/atom
- Energy relative to the elements, uncorrected: 0.215 eV/atom

a = 5.0060 Å, b = 5.0060 Å, c = 5.0060 Å
α = 134.99°, β = 134.99°, γ = 65.54°
Last column: nearest neighbours and their distance in Å.
Sites, in units of the cell vectors:
Fe 0.5000 0.5000 0.0000  8 Zn 2.71-2.85, 4 Se 2.85
Zn 0.2500 0.7500 0.5000  4 Se 2.71, 4 Zn 2.85, 4 Fe 2.85
Zn 0.0000 0.0000 0.0000  4 Fe 2.71, 4 Zn 2.85, 4 Se 2.85
Se 0.7500 0.2500 0.5000  8 Zn 2.71-2.85, 4 Fe 2.85

***

The following is a DFT calculation (GGA-PBE) of a geometry-optimized TaReRh2 structure.

Values from the calculation:
- Space group: Fm-3m (225)
- Formation enthalpy at 0 K: 136 meV/atom
- Calculated volume: 15.6 A^3/atom

a = 4.4488 Å, b = 4.4488 Å, c = 4.4488 Å
α = 60.00°, β = 60.00°, γ = 60.00°
Last column: nearest neighbours and their distance in Å.
Sites, in units of the cell vectors:
Rh 0.7500 0.7500 0.7500  4 Re 2.72, 4 Ta 2.72
Re 0.5000 0.5000 0.5000  8 Rh 2.72
Ta 0.0000 0.0000 0.0000  8 Rh 2.72
Rh 0.2500 0.2500 0.2500  4 Re 2.72, 4 Ta 2.72

***

The following is a DFT calculation (GGA-PBE) of a geometry-optimized SrHo2Ru structure.

Values from the calculation:
- Space group: R-3m (166)
- Formation enthalpy at 0 K: 31 meV/atom
- Calculated volume: 35.3 A^3/atom

a = 3.9158 Å, b = 3.9158 Å, c = 10.8793 Å
α = 79.63°, β = 79.63°, γ = 60.00°
Last column: nearest neighbours and their distance in Å.
Sites, in units of the cell vectors:
Ho 0.8807 0.8807 0.3579  3 Ru 2.72
Sr 0.0000 0.0000 0.0000  2 Ho 3.81, 6 Sr 3.92
Ho 0.1193 0.1193 0.6421  3 Ru 2.72
Ru 0.5000 0.5000 0.5000  6 Ho 2.72

***

The following is a DFT calculation (GGA-PBE) of a geometry-optimized ZnCu8Ni2 structure.

Values from the calculation:
- Space group: C2/m (12)
- Formation enthalpy at 0 K: 134 meV/atom
- Calculated volume: 12.7 A^3/atom

a = 4.3784 Å, b = 6.6078 Å, c = 7.1510 Å
α = 62.48°, β = 72.51°, γ = 49.42°
Last column: nearest neighbours and their distance in Å.
Sites, in units of the cell vectors:
Cu 0.7668 0.0982 0.2878  7 Cu 2.42-2.59, 3 Ni 2.53-2.63
Cu 0.5000 0.8083 0.3834  1 Zn 2.43, 6 Cu 2.45-2.59, 2 Ni 2.52
Zn 0.5000 0.0000 0.0000  4 Cu 2.43-2.52
Cu 0.5000 0.1917 0.6166  1 Zn 2.43, 6 Cu 2.45-2.59, 2 Ni 2.52
Cu 0.2332 0.6140 0.2878  7 Cu 2.42-2.59, 3 Ni 2.53-2.63
Cu 0.7668 0.3860 0.7122  7 Cu 2.42-2.59, 3 Ni 2.53-2.63
Cu 0.2886 0.4579 0.0000  4 Cu 2.21-2.42
Ni 0.0000 0.6786 0.6429  12 Cu 2.52-2.74
Cu 0.7114 0.5421 0.0000  4 Cu 2.21-2.42
Cu 0.2332 0.9018 0.7122  7 Cu 2.42-2.59, 3 Ni 2.53-2.63
Ni 0.0000 0.3214 0.3571  12 Cu 2.52-2.74

***

The following is a DFT calculation (GGA-PBE) of a geometry-optimized Ce6HgPb2 structure.

Values from the calculation:
- Space group: P-3m1 (164)
- Formation enthalpy at 0 K: -157 meV/atom
- Calculated volume: 29.6 A^3/atom

a = 6.0058 Å, b = 7.1551 Å, c = 7.1551 Å
α = 59.95°, β = 89.96°, γ = 89.96°
Last column: nearest neighbours and their distance in Å.
Sites, in units of the cell vectors:
Ce 0.7276 0.2054 0.5903  2 Ce 2.75-2.76, 1 Hg 3.02
Pb 0.2318 0.3332 0.3332  12 Ce 3.38-3.62
Pb 0.7682 0.6668 0.6668  12 Ce 3.38-3.62
Ce 0.7276 0.5903 0.2054  2 Ce 2.75-2.76, 1 Hg 3.02
Ce 0.7284 0.2052 0.2052  2 Ce 2.76, 1 Hg 3.02
Ce 0.2716 0.7948 0.7948  2 Ce 2.76, 1 Hg 3.02
Hg 0.0000 0.0000 0.0000  6 Ce 3.02
Ce 0.2724 0.4097 0.7946  2 Ce 2.75-2.76, 1 Hg 3.02
Ce 0.2724 0.7946 0.4097  2 Ce 2.75-2.76, 1 Hg 3.02

***

The following is a DFT calculation (GGA-PBE) of a geometry-optimized Hg12Te3I5 structure.

Values from the calculation:
- Space group: Ia-3d (230)
- Calculated volume: 39.2 A^3/atom
- Energy relative to the elements, uncorrected: 0.016 eV/atom

a = 15.9732 Å, b = 15.9732 Å, c = 15.9732 Å
α = 109.47°, β = 109.47°, γ = 109.47°
Last column: nearest neighbours and their distance in Å.
Sites, in units of the cell vectors:
I 0.1250 0.3750 0.2500  4 Hg 3.19
Hg 0.5591 0.9255 0.6671  1 Te 2.98, 2 I 3.19-3.26, 1 Hg 3.28
I 0.2500 0.3750 0.6250  4 Hg 3.19
Hg 0.3919 0.2583 0.3329  1 Te 2.98, 2 I 3.19-3.26, 1 Hg 3.28
Hg 0.8919 0.0591 0.6336  1 Te 2.98, 2 I 3.19-3.26, 1 Hg 3.28
Hg 0.8329 0.8919 0.2583  1 Te 2.98, 2 I 3.19-3.26, 1 Hg 3.28
I 0.5000 0.0000 0.0000  6 Hg 3.26
Hg 0.3664 0.9255 0.7583  1 Te 2.98, 2 I 3.19-3.26, 1 Hg 3.28
Hg 0.5591 0.6336 0.3919  1 Te 2.98, 2 I 3.19-3.26, 1 Hg 3.28
Hg 0.2583 0.8664 0.9255  1 Te 2.98, 2 I 3.19-3.26, 1 Hg 3.28
Hg 0.4409 0.0745 0.3329  1 Te 2.98, 2 I 3.19-3.26, 1 Hg 3.28
I 0.5000 0.5000 0.5000  6 Hg 3.26
Hg 0.7417 0.6081 0.1671  1 Te 2.98, 2 I 3.19-3.26, 1 Hg 3.28
Hg 0.7583 0.3329 0.8919  1 Te 2.98, 2 I 3.19-3.26, 1 Hg 3.28
Te 0.7500 0.8750 0.6250  4 Hg 2.98
I 0.8750 0.6250 0.7500  4 Hg 3.19
Hg 0.2583 0.3919 0.8329  1 Te 2.98, 2 I 3.19-3.26, 1 Hg 3.28
Te 0.3750 0.7500 0.6250  4 Hg 2.98
Hg 0.7583 0.4255 0.3664  1 Te 2.98, 2 I 3.19-3.26, 1 Hg 3.28
Te 0.6250 0.2500 0.3750  4 Hg 2.98
Te 0.7500 0.3750 0.1250  4 Hg 2.98
Hg 0.6671 0.4255 0.5591  1 Te 2.98, 2 I 3.19-3.26, 1 Hg 3.28
Hg 0.0591 0.1671 0.4255  1 Te 2.98, 2 I 3.19-3.26, 1 Hg 3.28
Hg 0.3664 0.4409 0.1081  1 Te 2.98, 2 I 3.19-3.26, 1 Hg 3.28
Hg 0.1081 0.1671 0.2417  1 Te 2.98, 2 I 3.19-3.26, 1 Hg 3.28
Hg 0.0745 0.6336 0.7417  1 Te 2.98, 2 I 3.19-3.26, 1 Hg 3.28
Hg 0.8664 0.6081 0.9409  1 Te 2.98, 2 I 3.19-3.26, 1 Hg 3.28
I 0.3750 0.1250 0.7500  4 Hg 3.19
Hg 0.1336 0.3919 0.0591  1 Te 2.98, 2 I 3.19-3.26, 1 Hg 3.28
Hg 0.6081 0.7417 0.6671  1 Te 2.98, 2 I 3.19-3.26, 1 Hg 3.28
Te 0.8750 0.7500 0.1250  4 Hg 2.98
Hg 0.8329 0.9409 0.0745  1 Te 2.98, 2 I 3.19-3.26, 1 Hg 3.28
Hg 0.9409 0.1081 0.8664  1 Te 2.98, 2 I 3.19-3.26, 1 Hg 3.28
Hg 0.7417 0.1336 0.0745  1 Te 2.98, 2 I 3.19-3.26, 1 Hg 3.28
Hg 0.4255 0.7583 0.8664  1 Te 2.98, 2 I 3.19-3.26, 1 Hg 3.28
I 0.7500 0.6250 0.3750  4 Hg 3.19
I 0.5000 0.5000 0.0000  6 Hg 3.26
I 0.3750 0.2500 0.1250  4 Hg 3.19
Hg 0.6336 0.0745 0.2417  1 Te 2.98, 2 I 3.19-3.26, 1 Hg 3.28
Hg 0.0745 0.4409 0.8329  1 Te 2.98, 2 I 3.19-3.26, 1 Hg 3.28
Te 0.6250 0.3750 0.7500  4 Hg 2.98
Hg 0.2417 0.6671 0.1081  1 Te 2.98, 2 I 3.19-3.26, 1 Hg 3.28
Hg 0.8919 0.8329 0.7583  1 Te 2.98, 2 I 3.19-3.26, 1 Hg 3.28
Hg 0.5745 0.3329 0.9409  1 Te 2.98, 2 I 3.19-3.26, 1 Hg 3.28
Hg 0.3329 0.7583 0.3919  1 Te 2.98, 2 I 3.19-3.26, 1 Hg 3.28
Hg 0.9255 0.5591 0.1671  1 Te 2.98, 2 I 3.19-3.26, 1 Hg 3.28
I 0.6250 0.7500 0.8750  4 Hg 3.19
Te 0.2500 0.6250 0.8750  4 Hg 2.98
Te 0.8750 0.1250 0.2500  4 Hg 2.98
Hg 0.6081 0.8664 0.4409  1 Te 2.98, 2 I 3.19-3.26, 1 Hg 3.28
I 0.0000 0.5000 0.5000  6 Hg 3.26
Hg 0.1671 0.1081 0.7417  1 Te 2.98, 2 I 3.19-3.26, 1 Hg 3.28
Hg 0.4409 0.3664 0.6081  1 Te 2.98, 2 I 3.19-3.26, 1 Hg 3.28
I 0.0000 0.5000 0.0000  6 Hg 3.26
I 0.5000 0.0000 0.5000  6 Hg 3.26
Hg 0.6336 0.5591 0.8919  1 Te 2.98, 2 I 3.19-3.26, 1 Hg 3.28
I 0.8750 0.2500 0.6250  4 Hg 3.19
Hg 0.3919 0.1336 0.5591  1 Te 2.98, 2 I 3.19-3.26, 1 Hg 3.28
Te 0.1250 0.8750 0.7500  4 Hg 2.98
Hg 0.8664 0.2583 0.4255  1 Te 2.98, 2 I 3.19-3.26, 1 Hg 3.28
Te 0.1250 0.2500 0.8750  4 Hg 2.98
Hg 0.5745 0.2417 0.1336  1 Te 2.98, 2 I 3.19-3.26, 1 Hg 3.28
I 0.7500 0.1250 0.8750  4 Hg 3.19
Hg 0.6671 0.2417 0.6081  1 Te 2.98, 2 I 3.19-3.26, 1 Hg 3.28
Hg 0.2417 0.5745 0.6336  1 Te 2.98, 2 I 3.19-3.26, 1 Hg 3.28
I 0.2500 0.8750 0.1250  4 Hg 3.19
Hg 0.4255 0.6671 0.0591  1 Te 2.98, 2 I 3.19-3.26, 1 Hg 3.28
Hg 0.9409 0.8329 0.5745  1 Te 2.98, 2 I 3.19-3.26, 1 Hg 3.28
I 0.0000 0.0000 0.0000  6 Hg 3.26
Hg 0.3329 0.5745 0.4409  1 Te 2.98, 2 I 3.19-3.26, 1 Hg 3.28
Hg 0.1336 0.7417 0.5745  1 Te 2.98, 2 I 3.19-3.26, 1 Hg 3.28
Te 0.3750 0.6250 0.2500  4 Hg 2.98
I 0.0000 0.0000 0.5000  6 Hg 3.26
Hg 0.0591 0.8919 0.1336  1 Te 2.98, 2 I 3.19-3.26, 1 Hg 3.28
Hg 0.1671 0.0591 0.9255  1 Te 2.98, 2 I 3.19-3.26, 1 Hg 3.28
Hg 0.1081 0.9409 0.3664  1 Te 2.98, 2 I 3.19-3.26, 1 Hg 3.28
I 0.1250 0.7500 0.3750  4 Hg 3.19
I 0.6250 0.8750 0.2500  4 Hg 3.19
Te 0.2500 0.1250 0.3750  4 Hg 2.98
Hg 0.9255 0.3664 0.2583  1 Te 2.98, 2 I 3.19-3.26, 1 Hg 3.28

***

The following is a DFT calculation (GGA-PBE) of a geometry-optimized YHfTeN2 structure.

Values from the calculation:
- Space group: P4/mmm (123)
- Calculated volume: 21.7 A^3/atom
- Energy relative to the elements, uncorrected: 0.722 eV/atom

a = 4.3199 Å, b = 4.3199 Å, c = 5.8083 Å
α = 90.00°, β = 90.00°, γ = 90.00°
Last column: nearest neighbours and their distance in Å.
Sites, in units of the cell vectors:
Y 0.0000 0.0000 0.0000  4 N 2.16
Te 0.0000 0.0000 0.5000  2 Y 2.90, 4 Hf 3.05
N 0.0000 0.5000 0.0000  2 Y 2.16
Hf 0.5000 0.5000 0.5000  4 Te 3.05
N 0.5000 0.0000 0.0000  2 Y 2.16

***

The following is a DFT calculation (GGA-PBE) of a geometry-optimized K2BaSc structure.

Values from the calculation:
- Space group: P4/mmm (123)
- Formation enthalpy at 0 K: 531 meV/atom
- Calculated volume: 51.5 A^3/atom

a = 3.8952 Å, b = 3.8952 Å, c = 13.5660 Å
α = 90.00°, β = 90.00°, γ = 90.00°
Last column: nearest neighbours and their distance in Å.
Sites, in units of the cell vectors:
K 0.0000 0.0000 0.4684  4 K 3.90, 4 Sc 4.05
K 0.0000 0.0000 0.0316  4 K 3.90, 4 Sc 4.05
Sc 0.5000 0.5000 0.2500  4 Sc 3.90, 8 K 4.05
Ba 0.5000 0.5000 0.7500  4 Ba 3.90

***

The following is a DFT calculation (GGA-PBE) of a geometry-optimized Cs2CuBr3Cl structure.

Values from the calculation:
- Space group: Immm (71)
- Calculated volume: 35.5 A^3/atom
- Energy relative to the elements, uncorrected: -1.188 eV/atom

a = 5.4559 Å, b = 5.2809 Å, c = 9.4206 Å
α = 106.27°, β = 106.83°, γ = 90.00°
Last column: nearest neighbours and their distance in Å.
Sites, in units of the cell vectors:
Br 0.1437 0.1436 0.2873  1 Cu 2.48
Br 0.8563 0.8564 0.7127  1 Cu 2.48
Br 0.0000 0.5000 0.0000  2 Cu 2.64
Cu 0.0000 0.0000 0.0000  4 Br 2.48-2.64, 2 Cl 2.73
Cs 0.6371 0.6371 0.2741  2 Cl 3.54, 7 Br 3.61-3.80
Cl 0.5000 0.0000 0.0000  2 Cu 2.73
Cs 0.3629 0.3629 0.7259  2 Cl 3.54, 7 Br 3.61-3.80